Na2CaP4O12 | the Alexandria database | meta-GGA SCAN | PBEsol geometry; uncorrected formation energy = -2631 meV/atom; SG = No. 125; E = -9.708 eV/atom; crystal system = tetragonal
1.0
9.6450 0.0000 0.0000
0.0000 9.6450 0.0000
0.0000 0.0000 4.9613
Na Ca P O
4 2 8 24
direct
0.0000 0.0000 0.0000
0.0000 0.5000 0.0000
0.5000 0.0000 0.0000
0.5000 0.5000 0.0000
0.2500 0.2500 0.0000
0.7500 0.7500 0.0000
0.0311 0.7500 0.5000
0.2500 0.5311 0.5000
0.2500 0.9689 0.5000
0.4689 0.7500 0.5000
0.5311 0.2500 0.5000
0.7500 0.0311 0.5000
0.7500 0.4689 0.5000
0.9689 0.2500 0.5000
0.0446 0.1890 0.2657
0.0446 0.3110 0.7343
0.1366 0.6366 0.6295
0.1366 0.8634 0.3705
0.1890 0.0446 0.7343
0.1890 0.4554 0.2657
0.3110 0.0446 0.2657
0.3110 0.4554 0.7343
0.3634 0.6366 0.3705
0.3634 0.8634 0.6295
0.4554 0.1890 0.7343
0.4554 0.3110 0.2657
0.5446 0.6890 0.7343
0.5446 0.8110 0.2657
0.6366 0.1366 0.3705
0.6366 0.3634 0.6295
0.6890 0.5446 0.2657
0.6890 0.9554 0.7343
0.8110 0.5446 0.7343
0.8110 0.9554 0.2657
0.8634 0.1366 0.6295
0.8634 0.3634 0.3705
0.9554 0.6890 0.2657
0.9554 0.8110 0.7343